Record 1
VASP calculation (GGA-PBE) on crystalline Pr2CdRu2 at its relaxed geometry.

POSCAR file:
```
Pr2CdRu2
1.0
5.095 -2.817 0.000
5.095 2.817 0.000
-2.454 0.000 8.140
Pr Cd Ru
4 2 4
direct
0.014 0.695 0.854 Pr
0.305 0.986 0.646 Pr
0.695 0.014 0.354 Pr
0.986 0.305 0.146 Pr
0.351 0.649 0.250 Cd
0.649 0.351 0.750 Cd
0.197 0.515 0.489 Ru
0.485 0.803 0.011 Ru
0.515 0.197 0.989 Ru
0.803 0.485 0.511 Ru
```

Output
energy = -5.9505 eV/atom
spin magnetization = 0.001 Bohr magnetons per cell
SG = No. 15
ρ = 8.48 g cm⁻³
ΔH_f (0 K) = -0.727 eV/f.u.


Record 2
VASP calculation (GGA-PBE) on crystalline Y4GeSe2 at its relaxed geometry.

POSCAR file:
```
Y4GeSe2
1.0
-2.712 2.712 7.166
2.712 -2.712 7.166
2.712 2.712 -7.166
Y Ge Se
4 1 2
direct
0.000 0.500 0.500 Y
0.200 0.200 0.000 Y
0.500 0.000 0.500 Y
0.800 0.800 0.000 Y
0.000 0.000 0.000 Ge
0.390 0.390 0.000 Se
0.610 0.610 0.000 Se
```

Output
energy = -6.1353 eV/atom
polymorph energy (0 for the lowest one) = 509 meV per atom
uncorrected formation energy = -0.7863 eV/atom
spin magnetization = 0.000 Bohr magnetons per cell
SG = No. 139
ρ = 4.62 g cm⁻³


Record 3
VASP calculation (GGA-PBE) on crystalline CrIn2Os at its relaxed geometry.

POSCAR file:
```
CrIn2Os
1.0
-2.042 2.042 4.238
2.042 -2.042 4.238
2.042 2.042 -4.238
Cr In Os
1 2 1
direct
0.000 0.000 0.000 Cr
0.250 0.750 0.500 In
0.500 0.500 0.000 In
0.750 0.250 0.500 Os
```

Output
energy = -6.0755 eV/atom
polymorph energy (0 for the lowest one) = 261 meV per atom
spin magnetization = 3.450 Bohr magnetons per cell
SG = No. 119
ρ = 11.09 g cm⁻³
ΔH_f (0 K) = 2.028 eV/f.u.


Record 4
VASP calculation (GGA-PBE) on crystalline HoNi3Pt at its relaxed geometry.

POSCAR file:
```
HoNi3Pt
1.0
-2.391 3.463 4.571
2.391 -3.463 4.571
2.391 3.463 -4.571
Ho Ni Pt
2 6 2
direct
0.252 0.002 0.250 Ho
0.748 0.998 0.750 Ho
0.194 0.000 0.694 Ni
0.194 0.500 0.194 Ni
0.452 0.702 0.750 Ni
0.548 0.298 0.250 Ni
0.806 0.000 0.306 Ni
0.806 0.500 0.806 Ni
0.000 0.500 0.500 Pt
0.500 0.500 0.000 Pt
```

Output
energy = -6.0293 eV/atom
spin magnetization = 1.631 Bohr magnetons per cell
SG = No. 74
ρ = 11.76 g cm⁻³
ΔH_f (0 K) = -2.184 eV/f.u.


Record 5
VASP calculation (GGA-PBE) on crystalline RbNbBiCl2 at its relaxed geometry.

POSCAR file:
```
RbNbBiCl2
1.0
5.605 0.000 0.000
0.000 5.605 0.000
0.000 0.000 6.459
Rb Nb Bi Cl
1 1 1 2
direct
0.000 0.000 0.000 Rb
0.500 0.500 0.500 Nb
0.000 0.000 0.500 Bi
0.000 0.500 0.000 Cl
0.500 0.000 0.000 Cl
```

Output
energy = -2.9271 eV/atom
uncorrected formation energy = 0.7952 eV/atom
spin magnetization = 1.893 Bohr magnetons per cell
SG = No. 123
ρ = 3.75 g cm⁻³


Record 6
VASP calculation (GGA-PBE) on crystalline Cs4Hg5Pt at its relaxed geometry.

POSCAR file:
```
Cs4Hg5Pt
1.0
-5.505 5.505 3.643
5.505 -5.505 3.643
5.505 5.505 -3.643
Cs Hg Pt
4 5 1
direct
0.072 0.701 0.773 Cs
0.299 0.072 0.371 Cs
0.701 0.928 0.629 Cs
0.928 0.299 0.227 Cs
0.288 0.410 0.739 Hg
0.410 0.670 0.122 Hg
0.548 0.288 0.878 Hg
0.670 0.548 0.261 Hg
0.826 0.826 0.000 Hg
0.215 0.215 0.000 Pt
```

Output
energy = -1.3031 eV/atom
polymorph energy (0 for the lowest one) = 0 meV per atom
spin magnetization = 0.000 Bohr magnetons per cell
SG = No. 79
ρ = 6.50 g cm⁻³
ΔH_f (0 K) = -2.067 eV/f.u.


Record 7
VASP calculation (GGA-PBE) on crystalline Mg2TaW at its relaxed geometry.

POSCAR file:
```
Mg2TaW
1.0
3.621 0.000 0.000
0.000 3.621 0.000
0.000 0.000 5.503
Mg Ta W
2 1 1
direct
0.000 0.000 0.243 Mg
0.000 0.000 0.757 Mg
0.500 0.500 0.500 Ta
0.500 0.500 0.000 W
```

Output
energy = -6.2291 eV/atom
polymorph energy (0 for the lowest one) = 569 meV per atom
spin magnetization = 0.000 Bohr magnetons per cell
SG = No. 123
ρ = 9.52 g cm⁻³
ΔH_f (0 K) = 3.078 eV/f.u.


Record 8
VASP calculation (GGA-PBE) on crystalline RbLa2As2 at its relaxed geometry.

POSCAR file:
```
RbLa2As2
1.0
-2.830 2.830 6.340
2.830 -2.830 6.340
2.830 2.830 -6.340
Rb La As
1 2 2
direct
0.000 0.000 0.000 Rb
0.317 0.317 0.000 La
0.683 0.683 0.000 La
0.250 0.750 0.500 As
0.750 0.250 0.500 As
```

Output
energy = -4.8960 eV/atom
polymorph energy (0 for the lowest one) = 29 meV per atom
spin magnetization = 0.000 Bohr magnetons per cell
SG = No. 139
ρ = 4.19 g cm⁻³
ΔH_f (0 K) = -4.359 eV/f.u.


What did the eighth record say?
VASP calculation (GGA-PBE) on crystalline RbLa2As2 at its relaxed geometry.

POSCAR file:
```
RbLa2As2
1.0
-2.830 2.830 6.340
2.830 -2.830 6.340
2.830 2.830 -6.340
Rb La As
1 2 2
direct
0.000 0.000 0.000 Rb
0.317 0.317 0.000 La
0.683 0.683 0.000 La
0.250 0.750 0.500 As
0.750 0.250 0.500 As
```

Output
energy = -4.8960 eV/atom
polymorph energy (0 for the lowest one) = 29 meV per atom
spin magnetization = 0.000 Bohr magnetons per cell
SG = No. 139
ρ = 4.19 g cm⁻³
ΔH_f (0 K) = -4.359 eV/f.u.